# 1
Density functional theory data (PBE) for an optimized crystal structure of InGa2I5.

Structure (POSCAR):
```
InGa2I5
1.0
5.096 -0.001 0.000
-2.548 9.701 0.000
0.000 0.000 16.931
In Ga I
2 4 10
Cartesian
2.584 7.019 12.699
-0.036 2.681 4.233
2.516 7.899 5.535
2.516 7.899 2.931
0.032 1.802 11.397
0.032 1.802 14.000
2.578 8.935 15.010
2.578 8.935 10.387
-0.031 7.066 6.442
-0.031 7.066 2.024
2.511 4.199 4.233
0.037 5.502 12.699
2.579 2.635 10.489
2.579 2.635 14.908
-0.030 0.765 1.921
-0.030 0.765 6.545
```

Calculated values
Formation energy (no corrections) in eV/atom: -0.34
DOS(E_F) in states/eV per cell: 5.60



# 2
Density functional theory data (PBE) for an optimized crystal structure of In5GaI6.

Structure (POSCAR):
```
In5GaI6
1.0
-5.122 1.227 6.692
-5.497 -6.497 0.597
2.005 -6.875 4.602
In Ga I
5 1 6
Cartesian
-2.155 -5.042 6.500
-1.165 -4.457 1.732
-5.309 -2.635 3.644
-2.327 -8.916 3.467
-6.459 -7.104 5.390
0.000 0.000 0.000
-3.677 -1.808 6.604
-3.876 -5.800 3.460
-2.589 -1.250 1.806
-8.030 -4.020 5.483
-4.737 -6.345 8.431
-4.936 -10.337 5.287
```

Calculated values
Formation energy (no corrections) in eV/atom: -0.43



# 3
Density functional theory data (PBE) for an optimized crystal structure of In3GaI.

Structure (POSCAR):
```
In3GaI
1.0
-0.999 4.818 2.496
-5.126 -1.670 1.172
1.779 -2.107 4.779
I Ga In
1 1 3
Cartesian
-2.173 0.521 4.223
0.000 0.000 0.000
-2.563 -0.835 0.586
0.889 -1.053 2.389
-0.500 2.409 1.248
```

Calculated values
Formation energy (no corrections) in eV/atom: 0.03
DOS(E_F) in states/eV per cell: 2.62
Excess energy over the best structure of this formula in the dataset in kcal/mol of atoms: 0.00



# 4
Density functional theory data (PBE) for an optimized crystal structure of In3GaI4.

Structure (POSCAR):
```
In3GaI4
1.0
6.945 0.000 0.000
0.000 6.954 0.000
0.000 0.000 13.858
In Ga I
6 2 8
Cartesian
3.912 5.211 0.000
0.442 5.214 3.468
3.915 1.740 3.461
0.439 1.743 6.929
3.915 1.740 10.397
0.442 5.214 10.390
0.368 1.624 0.000
3.841 5.330 6.929
0.428 5.347 0.000
4.053 1.700 0.000
0.439 1.723 3.360
3.912 5.232 3.569
0.580 5.255 6.929
3.901 1.608 6.929
3.912 5.232 10.289
0.439 1.723 10.498
```

Calculated values
Formation energy (no corrections) in eV/atom: -0.42
Excess energy over the best structure of this formula in the dataset in kcal/mol of atoms: 0.05



# 5
Density functional theory data (PBE) for an optimized crystal structure of InGa3I4.

Structure (POSCAR):
```
InGa3I4
1.0
8.230 0.072 0.000
-2.816 7.748 0.000
0.000 0.000 9.520
I Ga In
8 6 2
Cartesian
-0.661 1.970 5.885
3.368 2.067 8.271
3.453 2.006 3.635
7.483 2.103 1.249
-2.070 5.717 8.271
1.960 5.814 5.885
2.045 5.754 1.249
6.074 5.850 3.635
6.172 0.054 3.582
2.057 0.018 5.938
4.764 3.928 5.945
4.764 3.928 1.216
0.649 3.892 3.575
0.649 3.892 8.304
6.172 0.054 8.310
2.057 0.018 1.209
```

Calculated values
Formation energy (no corrections) in eV/atom: -0.37



# 6
Density functional theory data (PBE) for an optimized crystal structure of In2GaIrI.

Structure (POSCAR):
```
In2GaIrI
1.0
-2.041 -4.921 -0.017
3.520 -1.473 3.717
-3.146 1.293 3.492
I Ir Ga In
1 1 1 2
Cartesian
-0.833 -2.551 3.596
0.000 0.000 0.000
-1.573 0.646 1.746
1.760 -0.737 1.859
-1.021 -2.460 -0.008
```

Calculated values
Formation energy (no corrections) in eV/atom: -0.32
DOS(E_F) in states/eV per cell: 0.97



# 7
Density functional theory data (PBE) for an optimized crystal structure of K2InGaI6.

Structure (POSCAR):
```
K2InGaI6
1.0
8.459 0.000 -0.001
4.229 7.326 -0.001
4.228 2.442 7.050
K In Ga I
2 1 1 6
Cartesian
8.458 4.884 2.692
4.229 2.442 6.378
4.230 2.442 0.249
12.688 7.326 3.893
6.631 1.907 1.888
6.795 7.955 1.888
11.950 4.789 1.887
10.052 6.694 5.491
9.228 2.599 5.492
6.094 5.359 5.492
```

Calculated values
Formation energy (no corrections) in eV/atom: -0.84



# 8
Density functional theory data (PBE) for an optimized crystal structure of K3InGa2I6.

Structure (POSCAR):
```
K3InGa2I6
1.0
-3.838 -0.183 -3.098
0.631 -9.889 -0.198
-4.804 1.996 9.764
K In Ga I
3 1 2 6
Cartesian
-1.603 -5.036 -1.648
-6.313 -0.467 3.915
-1.699 -7.608 2.553
-1.919 -0.091 -1.549
-5.942 -5.397 3.748
-2.069 -2.678 2.721
-3.905 -7.661 5.289
-3.866 -5.108 1.160
-4.107 -0.415 1.180
0.101 -2.476 0.021
-8.112 -5.599 6.447
-4.145 -2.968 5.309
```

Calculated values
Formation energy (no corrections) in eV/atom: -0.92
DOS(E_F) in states/eV per cell: 0.00



Looking at theoretical density for the records above, in order, we have 3.53, 4.62, 5.35, 4.57, 4.54, 7.42, 3.89, 3.67 g cm⁻³.